No. 1
This record from the Alexandria database describes an optimized crystal structure of KCaSi. The functional is PBE.

Cell lengths 5.2153, 5.2153, 5.2153 Å; angles 60.00, 60.00, 60.00 degrees
Site moments in Bohr magnetons follow the coordinates.
Fractional coordinates of all 3 atoms:
Ca 0.5000 0.5000 0.5000  0.04
K 0.7500 0.7500 0.7500  0.03
Si 0.0000 0.0000 0.0000  0.22

Results
**SG**: F-43m (216)
**DOS at the Fermi energy**: 4.22 states/eV/cell
**Relative energy among the computed polymorphs**: 653 meV per atom



No. 2
This record from the Alexandria database describes an optimized crystal structure of KCa2Si. The functional is PBE.

Cell lengths 4.7161, 4.7161, 9.5641 Å; angles 75.64, 75.64, 60.00 degrees
Fractional coordinates of all 4 atoms:
Ca 0.5403 0.5403 0.3783
K 0.7500 0.7500 0.7500
Si 0.2500 0.2500 0.2500
Ca 0.9597 0.9597 0.1217

Results
**SG**: C2/m (12)
**DOS at the Fermi energy**: 0.91 states/eV/cell
**E**: -2.75 eV per atom



No. 3
This record from the Alexandria database describes an optimized crystal structure of KCa2Si2. The functional is PBE.

Cell lengths 9.0981, 9.0981, 3.1959 Å; angles 90.00, 90.00, 90.00 degrees
Fractional coordinates of all 10 atoms:
Si 0.1704 0.6704 0.5000
Ca 0.6271 0.1271 0.0000
Si 0.6704 0.8296 0.5000
Ca 0.8729 0.6271 0.0000
Si 0.8296 0.3296 0.5000
Si 0.3296 0.1704 0.5000
Ca 0.3729 0.8729 0.0000
Ca 0.1271 0.3729 0.0000
K 0.0000 0.0000 0.0000
K 0.5000 0.5000 0.0000

Results
**SG**: P4/mbm (127)
**DOS at the Fermi energy**: 4.65 states/eV/cell
**Relative energy among the computed polymorphs**: 30 meV per atom



No. 4
This record from the Alexandria database describes an optimized crystal structure of K2CaSi. The functional is PBE.

Cell lengths 4.7621, 4.7292, 6.0317 Å; angles 90.00, 90.00, 90.00 degrees
Fractional coordinates of all 4 atoms:
K 0.5000 0.5000 0.0000
Si 0.5000 0.0000 0.5000
Ca 0.0000 0.5000 0.5000
K 0.0000 0.0000 0.0000

Results
**SG**: Pmmm (47)
**DOS at the Fermi energy**: 3.47 states/eV/cell
**E**: -2.14 eV per atom



No. 5
This record from the Alexandria database describes an optimized crystal structure of K2CaSi. The functional is PBE.

Cell lengths 5.6384, 5.6384, 5.6384 Å; angles 120.30, 119.58, 90.10 degrees
Fractional coordinates of all 4 atoms:
Si 0.4979 0.4979 0.0000
K 0.0002 0.0002 0.0000
Ca 0.2523 0.7523 0.5000
K 0.7496 0.2496 0.5000

Results
**SG**: Imm2 (44)
**E**: -2.28 eV per atom



No. 6
This record from the Alexandria database describes an optimized crystal structure of KCaSi. The functional is PBE.

Cell lengths 5.1452, 5.1452, 8.1726 Å; angles 90.00, 90.00, 90.00 degrees
Site moments in Bohr magnetons follow the coordinates.
Fractional coordinates of all 6 atoms:
K 0.5000 0.0000 0.1244  0.01
Si 0.0000 0.5000 0.3024  0.25
Ca 0.5000 0.5000 0.5000  0.07
Ca 0.0000 0.0000 0.5000  0.07
Si 0.5000 0.0000 0.6976  0.25
K 0.0000 0.5000 0.8756  0.01

Results
**SG**: P4/nmm (129)
**DOS at the Fermi energy**: 5.66 states/eV/cell
**Relative energy among the computed polymorphs**: 0 meV per atom



No. 7
This record from the Alexandria database describes an optimized crystal structure of KSrCa2Si. The functional is PBE.

Cell lengths 5.9183, 5.9183, 6.2447 Å; angles 90.00, 90.00, 90.00 degrees
Fractional coordinates of all 5 atoms:
K 0.5000 0.5000 0.5000
Ca 0.5000 0.0000 0.0000
Si 0.0000 0.0000 0.0000
Ca 0.0000 0.5000 0.0000
Sr 0.0000 0.0000 0.5000

Results
**SG**: P4/mmm (123)
**DOS at the Fermi energy**: 4.37 states/eV/cell
**E**: -2.53 eV per atom



No. 8
This record from the Alexandria database describes an optimized crystal structure of K2CaSiTe4. The functional is PBE.

Cell lengths 9.1985, 9.1985, 10.0211 Å; angles 123.01, 123.01, 90.24 degrees
Fractional coordinates of all 16 atoms:
Te 0.7558 0.7441 0.5557
Ca 0.0000 0.5000 0.5000
Te 0.7559 0.7442 0.9443
Si 0.5000 0.5000 0.5000
K 0.0000 0.0000 0.5000
Te 0.2442 0.2559 0.4443
K 0.5000 0.0000 0.5000
Te 0.7941 0.2372 0.0157
Ca 0.0000 0.5000 0.0000
K 0.5000 0.0000 0.0000
Te 0.2441 0.2558 0.0557
Te 0.2628 0.7059 0.4843
K 0.5000 0.5000 0.0000
Te 0.7372 0.2941 0.5157
Te 0.2059 0.7628 0.9843
Si 0.0000 0.0000 0.0000

Results
**SG**: Imma (74)
**DOS at the Fermi energy**: 8.87 states/eV/cell
**E**: -3.44 eV per atom



No. 9
This record from the Alexandria database describes an optimized crystal structure of KCa2Sm. The functional is PBE.

Cell lengths 3.8454, 3.8454, 12.0797 Å; angles 90.00, 90.00, 90.00 degrees
Site moments in Bohr magnetons follow the coordinates.
Fractional coordinates of all 4 atoms:
Ca 0.0000 0.0000 0.2124  0.03
Sm 0.5000 0.5000 0.0000  0.20
Ca 0.0000 0.0000 0.7876  0.03
K 0.5000 0.5000 0.5000  0.00

Results
**SG**: P4/mmm (123)
**DOS at the Fermi energy**: 5.83 states/eV/cell
**Formation enthalpy at 0 K**: 0.148 eV/atom
**Relative energy among the computed polymorphs**: 0 meV per atom



No. 10
This record from the Alexandria database describes an optimized crystal structure of KCa2Sm. The functional is PBE.

Cell lengths 3.8219, 3.8219, 14.2190 Å; angles 82.28, 82.28, 60.00 degrees
Fractional coordinates of all 4 atoms:
Ca 0.9056 0.9056 0.2831
Ca 0.0944 0.0944 0.7169
Sm 0.5000 0.5000 0.5000
K 0.0000 0.0000 0.0000

Results
**SG**: R-3m (166)
**DOS at the Fermi energy**: 6.93 states/eV/cell
**Formation enthalpy at 0 K**: 0.186 eV/atom
**Relative energy among the computed polymorphs**: 38 meV per atom



No. 11
This record from the Alexandria database describes an optimized crystal structure of KCaSm. The functional is PBE.

Cell lengths 3.7899, 3.7972, 20.8505 Å; angles 90.00, 90.00, 119.94 degrees
Site moments in Bohr magnetons follow the coordinates.
Fractional coordinates of all 6 atoms:
Ca 0.2773 0.5546 0.5000  0.05
Ca 0.6072 0.2145 0.0000  0.01
K 0.2814 0.5627 0.8188  0.00
K 0.2814 0.5627 0.1812  0.00
Sm 0.6096 0.2193 0.3555  0.08
Sm 0.6096 0.2193 0.6445  0.08

Results
**SG**: Amm2 (38)
**DOS at the Fermi energy**: 8.65 states/eV/cell
**Formation enthalpy at 0 K**: 0.253 eV/atom



No. 12
This record from the Alexandria database describes an optimized crystal structure of KCa2Sm3Te6. The functional is PBE.

Cell lengths 4.4697, 9.2159, 10.2030 Å; angles 104.66, 102.65, 90.00 degrees
Fractional coordinates of all 12 atoms:
Te 0.6672 0.5832 0.3343
Ca 0.8342 0.6690 0.6683
Te 0.3328 0.4168 0.6657
Sm 0.8361 0.1690 0.6722
Te 0.0005 0.2648 0.0009
Te 0.3273 0.9156 0.6546
Sm 0.5000 0.5000 0.0000
K 0.5000 0.0000 0.0000
Te 0.9995 0.7352 0.9991
Ca 0.1658 0.3310 0.3317
Sm 0.1639 0.8310 0.3278
Te 0.6727 0.0844 0.3454

Results
**SG**: C2/m (12)
**DOS at the Fermi energy**: 4.78 states/eV/cell
**E**: -4.63 eV per atom